The following is a PBE calculation of a relaxed structure of Ga2Cu2Au, from Alexandria via LeMat-Bulk.

energy above the lowest structure with this stoichiometry: 100 meV/atom
space-group type: No. 139
formation energy from the elements: 0.0265 eV per atom

Cell: 3.448 3.448 7.144 Å, 76.04 76.04 90.00°
Positions (direct):
Cu  0.750  0.250  0.500
Cu  0.250  0.750  0.500
Ga  0.605  0.605  0.789
Ga  0.395  0.395  0.211
Au  0.000  0.000  0.000

=====

The following is a PBE calculation of a relaxed structure of VReHOs2, from Alexandria via LeMat-Bulk.

space-group type: No. 123
uncorrected energy: -9.459 eV/atom

Cell: 3.892 3.892 3.900 Å, 90.00 90.00 90.00°
Positions (direct):
Os  0.500  0.000  0.000
Os  0.000  0.500  0.000
H  0.000  0.000  0.000
V  0.000  0.000  0.500
Re  0.500  0.500  0.500

=====

The following is a PBE calculation of a relaxed structure of Mg5MnSb4, from Alexandria via LeMat-Bulk.

space-group type: No. 156
raw formation energy: -243 meV per atom

Cell: 4.555 4.555 14.507 Å, 90.00 90.00 120.00°
Each line ends with the local moment (μB).
Positions (direct):
Sb  0.000  0.000  0.884  0.02
Sb  0.000  0.000  0.389  0.01
Sb  0.333  0.667  0.616  0.02
Sb  0.333  0.667  0.112  0.01
Mg  0.667  0.333  0.999  0.00
Mg  0.333  0.667  0.812  0.00
Mg  0.667  0.333  0.502  0.01
Mg  0.333  0.667  0.316  0.00
Mg  0.000  0.000  0.184  0.00
Mn  0.000  0.000  0.687  4.08

=====

The following is a PBE calculation of a relaxed structure of La8CoPtRh2, from Alexandria via LeMat-Bulk.

space-group type: No. 10
formation energy from the elements: -0.4941 eV per atom

Cell: 6.780 6.774 8.541 Å, 90.00 90.00 89.03°
Positions (direct):
Rh  0.500  0.500  0.751
Rh  0.500  0.500  0.249
La  0.344  0.273  0.500
La  0.666  0.731  0.000
La  0.844  0.229  0.234
La  0.334  0.269  0.000
La  0.156  0.771  0.234
La  0.656  0.727  0.500
La  0.156  0.771  0.766
La  0.844  0.229  0.766
Pt  0.000  0.000  0.500
Co  0.000  0.000  0.000

=====

The following is a PBE calculation of a relaxed structure of KBa2Tc2N6, from Alexandria via LeMat-Bulk.

space-group type: No. 2
raw formation energy: -220 meV per atom

Cell: 7.381 6.312 6.577 Å, 118.17 88.68 64.60°
Each line ends with the local moment (μB).
Positions (direct):
K  0.500  0.000  0.500  0.00
N  0.824  0.026  0.333  0.09
N  0.175  0.518  0.674  0.09
N  0.825  0.482  0.326  0.09
N  0.613  0.197  0.005  0.24
N  0.387  0.803  0.995  0.24
N  0.176  0.974  0.667  0.09
Ba  0.180  0.534  0.245  0.00
Ba  0.820  0.466  0.755  0.00
Tc  0.189  0.824  0.839  -0.06
Tc  0.811  0.176  0.161  -0.06

=====

The following is a PBE calculation of a relaxed structure of Na4Tl2SnPb2, from Alexandria via LeMat-Bulk.

space-group type: No. 2
formation energy from the elements: -0.0831 eV per atom

Cell: 6.389 8.338 6.709 Å, 120.76 117.52 71.19°
Positions (direct):
Na  0.581  0.840  0.098
Na  0.328  0.340  0.469
Na  0.672  0.660  0.531
Na  0.419  0.160  0.902
Pb  0.884  0.210  0.493
Pb  0.116  0.790  0.507
Sn  0.000  0.000  0.000
Tl  0.195  0.588  0.969
Tl  0.805  0.412  0.031

=====

The following is a PBE calculation of a relaxed structure of KEr3B4O12, from Alexandria via LeMat-Bulk.

space-group type: No. 155
raw formation energy: -2721 meV per atom

Cell: 6.620 6.620 6.620 Å, 101.58 101.58 101.58°
Each line ends with the local moment (μB).
Positions (direct):
O  0.500  0.364  0.636  -0.07
O  0.207  0.403  0.985  -0.21
O  0.793  0.015  0.597  -0.21
O  0.636  0.500  0.364  -0.07
O  0.500  0.092  0.908  -0.08
O  0.015  0.597  0.793  -0.21
O  0.985  0.207  0.403  -0.21
O  0.597  0.793  0.015  -0.21
O  0.364  0.636  0.500  -0.07
O  0.092  0.908  0.500  -0.08
O  0.908  0.500  0.092  -0.08
O  0.403  0.985  0.207  -0.21
B  0.957  0.043  0.500  0.01
B  0.500  0.500  0.500  0.00
B  0.500  0.957  0.043  0.01
B  0.043  0.500  0.957  0.01
Er  0.548  0.452  0.000  0.00
Er  0.000  0.548  0.452  0.00
Er  0.452  0.000  0.548  0.00
K  0.000  0.000  0.000  0.00

=====

The following is a PBE calculation of a relaxed structure of Li5Cr, from Alexandria via LeMat-Bulk.

energy above the lowest structure with this stoichiometry: 150 meV/atom
space-group type: No. 191
formation energy from the elements: 0.3984 eV per atom

Cell: 5.315 5.315 4.763 Å, 90.00 90.00 120.00°
Each line ends with the local moment (μB).
Positions (direct):
Li  0.333  0.667  0.000  0.00
Li  0.000  0.500  0.500  -0.05
Li  0.667  0.333  0.000  0.00
Li  0.500  0.000  0.500  -0.05
Li  0.500  0.500  0.500  -0.05
Cr  0.000  0.000  0.000  4.04

=====

The following is a PBE calculation of a relaxed structure of Er4Ni2Os, from Alexandria via LeMat-Bulk.

space-group type: No. 166
formation energy from the elements: -0.3239 eV per atom

Cell: 4.726 4.726 8.233 Å, 73.32 73.32 60.00°
Positions (direct):
Ni  0.252  0.252  0.245
Ni  0.748  0.748  0.755
Er  0.876  0.876  0.371
Er  0.625  0.625  0.126
Er  0.124  0.124  0.629
Er  0.375  0.375  0.874
Os  0.000  0.000  0.000

=====

The following is a PBE calculation of a relaxed structure of BeZnTc2, from Alexandria via LeMat-Bulk.

energy above the lowest structure with this stoichiometry: 216 meV/atom
space-group type: No. 35
formation energy from the elements: 0.1786 eV per atom

Cell: 2.659 2.659 8.325 Å, 90.00 90.00 113.57°
Positions (direct):
Tc  0.000  0.000  0.983
Tc  0.500  0.500  0.243
Be  0.500  0.500  0.754
Zn  0.000  0.000  0.519

=====

The following is a PBE calculation of a relaxed structure of ScAs2O2, from Alexandria via LeMat-Bulk.

space-group type: No. 141
raw formation energy: -1134 meV per atom

Cell: 9.750 9.750 9.750 Å, 115.79 115.79 97.46°
Positions (direct):
O  0.023  0.818  0.795
O  0.978  0.273  0.705
O  0.182  0.977  0.205
O  0.727  0.432  0.705
O  0.568  0.273  0.295
O  0.023  0.228  0.205
O  0.727  0.022  0.295
O  0.772  0.977  0.795
Sc  0.875  0.625  0.750
Sc  0.875  0.125  0.250
Sc  0.375  0.125  0.250
Sc  0.875  0.125  0.750
As  0.979  0.856  0.124
As  0.606  0.229  0.624
As  0.018  0.394  0.624
As  0.144  0.268  0.124
As  0.606  0.982  0.376
As  0.771  0.394  0.376
As  0.144  0.021  0.876
As  0.732  0.856  0.876

=====

The following is a PBE calculation of a relaxed structure of Hg2BPt, from Alexandria via LeMat-Bulk.

space-group type: No. 141
formation energy from the elements: 0.3162 eV per atom

Cell: 9.400 9.400 6.966 Å, 47.57 47.57 90.00°
Positions (direct):
Pt  0.000  0.000  0.000
Pt  0.750  0.250  0.500
Hg  0.375  0.125  0.250
Hg  0.875  0.625  0.750
Hg  0.375  0.625  0.750
Hg  0.375  0.625  0.250
B  0.500  0.500  0.000
B  0.250  0.750  0.500

=====

The following is a PBE calculation of a relaxed structure of Sr2AlOs, from Alexandria via LeMat-Bulk.

space-group type: No. 119
formation energy from the elements: 0.5383 eV per atom

Cell: 5.091 5.091 5.091 Å, 119.81 119.81 90.32°
Positions (direct):
Al  0.500  0.500  0.000
Os  0.750  0.250  0.500
Sr  0.000  0.000  0.000
Sr  0.250  0.750  0.500

=====

The following is a PBE calculation of a relaxed structure of Zn2CdPt, from Alexandria via LeMat-Bulk.

space-group type: No. 65
formation energy from the elements: -0.1961 eV per atom

Cell: 4.726 4.726 2.947 Å, 90.00 90.00 102.46°
Positions (direct):
Zn  0.000  0.000  0.000
Zn  0.500  0.500  0.000
Cd  0.500  0.000  0.500
Pt  0.000  0.500  0.500

=====

The following is a PBE calculation of a relaxed structure of CsAc2ZnO5, from Alexandria via LeMat-Bulk.

space-group type: No. 140
raw formation energy: -2297 meV per atom

Cell: 7.306 7.306 7.903 Å, 117.53 117.53 90.00°
Each line ends with the local moment (μB).
Positions (direct):
Ac  0.323  0.823  0.000  0.01
Ac  0.823  0.677  0.000  0.01
Ac  0.677  0.177  0.000  0.01
Ac  0.177  0.323  0.000  0.01
Cs  0.750  0.750  0.500  0.01
Cs  0.250  0.250  0.500  0.01
Zn  0.750  0.250  0.500  0.05
Zn  0.250  0.750  0.500  0.05
O  0.500  0.500  0.000  0.21
O  0.756  0.997  0.253  0.15
O  0.503  0.744  0.747  0.15
O  0.744  0.244  0.747  0.15
O  0.003  0.503  0.747  0.15
O  0.256  0.756  0.253  0.15
O  0.497  0.256  0.253  0.15
O  0.244  0.003  0.747  0.15
O  0.997  0.497  0.253  0.15
O  0.000  0.000  0.000  0.21

=====

The following is a PBE calculation of a relaxed structure of Sr2TcF8, from Alexandria via LeMat-Bulk.

space-group type: No. 164
raw formation energy: -3037 meV per atom

Cell: 4.731 7.013 7.013 Å, 120.00 90.00 90.00°
Each line ends with the local moment (μB).
Positions (direct):
F  0.730  0.135  0.269  0.06
F  0.270  0.269  0.135  0.06
F  0.254  0.333  0.667  0.00
F  0.730  0.731  0.865  0.06
F  0.270  0.865  0.731  0.06
F  0.746  0.667  0.333  0.00
F  0.270  0.865  0.135  0.06
F  0.730  0.135  0.865  0.06
Tc  0.500  0.000  0.000  2.43
Sr  0.755  0.333  0.667  0.00
Sr  0.245  0.667  0.333  0.00

=====

The following is a PBE calculation of a relaxed structure of Pm4DyAg5, from Alexandria via LeMat-Bulk.

space-group type: No. 123
formation energy from the elements: -0.2821 eV per atom

Cell: 3.680 3.680 18.878 Å, 90.00 90.00 90.00°
Positions (direct):
Pm  0.000  0.000  0.803
Pm  0.000  0.000  0.197
Pm  0.000  0.000  0.601
Pm  0.000  0.000  0.399
Ag  0.500  0.500  0.298
Ag  0.500  0.500  0.500
Ag  0.500  0.500  0.702
Ag  0.500  0.500  0.907
Ag  0.500  0.500  0.093
Dy  0.000  0.000  0.000

=====

The following is a PBE calculation of a relaxed structure of Zr2GaPb, from Alexandria via LeMat-Bulk.

space-group type: No. 166
formation energy from the elements: -0.1865 eV per atom

Cell: 3.862 3.862 7.608 Å, 75.30 75.30 60.00°
Positions (direct):
Pb  0.500  0.500  0.500
Ga  0.000  0.000  0.000
Zr  0.261  0.261  0.217
Zr  0.739  0.739  0.783

=====

The following is a PBE calculation of a relaxed structure of TlPdN2O, from Alexandria via LeMat-Bulk.

space-group type: No. 123
raw formation energy: 1986 meV per atom

Cell: 4.324 4.324 4.369 Å, 90.00 90.00 90.00°
Each line ends with the local moment (μB).
Positions (direct):
O  0.000  0.000  0.500  0.59
N  0.500  0.000  0.000  0.99
N  0.000  0.500  0.000  0.99
Tl  0.000  0.000  0.000  0.01
Pd  0.500  0.500  0.500  0.94

=====

The following is a PBE calculation of a relaxed structure of Pm12NdEr6, from Alexandria via LeMat-Bulk.

energy above the lowest structure with this stoichiometry: 59 meV/atom
space-group type: No. 166
formation energy from the elements: 0.1944 eV per atom

Cell: 8.807 8.807 8.807 Å, 98.98 98.98 98.98°
Positions (direct):
Nd  0.000  0.000  0.000
Er  0.338  0.900  0.900
Er  0.662  0.100  0.100
Er  0.100  0.662  0.100
Er  0.900  0.338  0.900
Er  0.100  0.100  0.662
Er  0.900  0.900  0.338
Pm  0.646  0.918  0.646
Pm  0.354  0.354  0.082
Pm  0.242  0.758  0.500
Pm  0.758  0.242  0.500
Pm  0.500  0.758  0.242
Pm  0.242  0.500  0.758
Pm  0.918  0.646  0.646
Pm  0.646  0.646  0.918
Pm  0.500  0.242  0.758
Pm  0.354  0.082  0.354
Pm  0.758  0.500  0.242
Pm  0.082  0.354  0.354